Entry 1:
Below is a crystal of Fe2ReTc relaxed with PBEsol, with properties calculated at the SCAN level.

Results
For the energy relative to the elements, the calculation gives 0.245 eV/atom. For the total magnetization, the calculation gives 0.0 μB per formula unit.

Structure (POSCAR):
```
Fe2ReTc
1.0
3.680 0.000 0.000
0.000 3.680 0.000
-1.840 -1.840 3.575
Fe Re Tc
2 1 1
direct
0.750 0.250 0.500 Fe
0.250 0.750 0.500 Fe
0.500 0.500 0.000 Re
0.000 0.000 0.000 Tc
```

---

Entry 2:
Below is a crystal of FeRe2Tc relaxed with PBEsol, with properties calculated at the SCAN level.

Results
For the energy relative to the elements, the calculation gives 0.126 eV/atom. For the total magnetization, the calculation gives 1.6 μB per formula unit. Its excess energy over the best structure of this formula in the dataset is 0.072 eV/atom.

Structure (POSCAR):
```
FeRe2Tc
1.0
-2.602 -0.096 -0.616
0.401 -2.281 -1.340
-1.327 -3.882 6.212
Fe Re Tc
1 2 1
direct
0.500 0.500 0.500 Fe
0.000 0.000 0.267 Re
0.000 0.000 0.733 Re
0.500 0.500 0.000 Tc
```

---

Entry 3:
Below is a crystal of FeRe2Tc relaxed with PBEsol, with properties calculated at the SCAN level.

Results
For the energy relative to the elements, the calculation gives 0.054 eV/atom. For the total magnetization, the calculation gives 1.7 μB per formula unit. Its excess energy over the best structure of this formula in the dataset is 0.000 eV/atom.

Structure (POSCAR):
```
FeRe2Tc
1.0
3.790 0.000 0.000
0.000 3.790 0.000
-1.895 -1.895 3.749
Tc Re Fe
1 2 1
direct
0.500 0.500 0.000 Tc
0.750 0.250 0.500 Re
0.000 0.000 0.000 Re
0.250 0.750 0.500 Fe
```

---

Entry 4:
Below is a crystal of FeReTc2 relaxed with PBEsol, with properties calculated at the SCAN level.

Results
For the energy relative to the elements, the calculation gives 0.126 eV/atom. For the total magnetization, the calculation gives 2.5 μB per formula unit.

Structure (POSCAR):
```
FeReTc2
1.0
-1.912 0.799 1.588
3.392 -1.009 3.401
0.723 4.133 -2.758
Tc Fe Re
2 1 1
direct
0.500 0.500 0.500 Tc
0.000 0.000 0.500 Tc
0.500 0.000 0.000 Fe
0.000 0.500 0.000 Re
```

---

Entry 5:
Below is a crystal of Fe2ReTc relaxed with PBEsol, with properties calculated at the SCAN level.

Results
For the energy relative to the elements, the calculation gives 0.024 eV/atom. For the total magnetization, the calculation gives 5.0 μB per formula unit.

Structure (POSCAR):
```
Fe2ReTc
1.0
-2.731 -0.655 0.537
0.722 -0.849 2.633
-0.958 5.719 2.106
Fe Re Tc
2 1 1
direct
0.500 0.500 0.229 Fe
0.000 0.000 0.020 Fe
0.000 0.000 0.484 Re
0.500 0.500 0.767 Tc
```

---

Entry 6:
Below is a crystal of Fe2ReTc relaxed with PBEsol, with properties calculated at the SCAN level.

Results
For the energy relative to the elements, the calculation gives 0.055 eV/atom. For the total magnetization, the calculation gives 5.4 μB per formula unit.

Structure (POSCAR):
```
Fe2ReTc
1.0
2.551 0.000 -0.013
0.000 4.141 0.000
-1.028 0.000 4.883
Re Fe Tc
1 2 1
direct
0.500 0.500 0.000 Re
0.749 0.000 0.751 Fe
0.251 0.000 0.249 Fe
0.000 0.500 0.500 Tc
```

---

Entry 7:
Below is a crystal of FeReTc2 relaxed with PBEsol, with properties calculated at the SCAN level.

Results
For the energy relative to the elements, the calculation gives 0.061 eV/atom. For the total magnetization, the calculation gives 1.6 μB per formula unit.

Structure (POSCAR):
```
FeReTc2
1.0
-3.083 0.334 -2.145
1.992 -1.047 -3.026
-0.309 -3.216 3.259
Tc Re Fe
2 1 1
direct
0.750 0.250 0.500 Tc
0.000 0.000 0.000 Tc
0.250 0.750 0.500 Re
0.500 0.500 0.000 Fe
```

---

Entry 8:
Below is a crystal of FeReTe relaxed with PBEsol, with properties calculated at the SCAN level.

Results
For the total magnetization, the calculation gives 2.3 μB per formula unit. The calculation puts the uncorrected formation energy at 0.884 eV per atom.

Structure (POSCAR):
```
FeReTe
1.0
-0.398 2.952 0.115
-3.954 -0.480 -1.344
0.841 -0.047 4.119
Fe Te Re
1 1 1
direct
0.165 0.000 0.000 Fe
0.168 0.667 0.333 Te
0.667 0.333 0.667 Re
```

---

Entry 9:
Below is a crystal of FeReTe4 relaxed with PBEsol, with properties calculated at the SCAN level.

Results
For the total magnetization, the calculation gives 7.2 μB per formula unit. The calculation puts the uncorrected formation energy at 1.756 eV per atom.

Structure (POSCAR):
```
FeReTe4
1.0
6.008 0.000 0.000
3.004 5.203 0.000
3.004 1.734 4.906
Fe Te Re
1 4 1
direct
0.750 0.750 0.750 Fe
0.876 0.375 0.375 Te
0.375 0.375 0.375 Te
0.375 0.375 0.876 Te
0.375 0.876 0.375 Te
0.000 0.000 0.000 Re
```

---

Entry 10:
Below is a crystal of FeRe3Te relaxed with PBEsol, with properties calculated at the SCAN level.

Results
For the total magnetization, the calculation gives 2.7 μB per formula unit. The calculation puts the uncorrected formation energy at 2.805 eV per atom.

Structure (POSCAR):
```
FeRe3Te
1.0
-0.320 4.719 -0.223
-2.171 -0.346 -4.193
-4.196 -0.181 2.187
Fe Te Re
1 1 3
direct
0.500 0.500 0.500 Fe
0.000 0.000 0.000 Te
0.500 0.000 0.000 Re
0.000 0.000 0.500 Re
0.000 0.500 0.000 Re
```

---

Entry 11:
Below is a crystal of Tl3FeRe relaxed with PBEsol, with properties calculated at the SCAN level.

Results
For the energy relative to the elements, the calculation gives 1.183 eV/atom. For the total magnetization, the calculation gives 5.0 μB per formula unit.

Structure (POSCAR):
```
Tl3FeRe
1.0
-1.139 4.937 -1.316
-4.621 -0.421 2.423
2.179 1.689 4.450
Tl Re Fe
3 1 1
direct
0.500 0.000 0.000 Tl
0.000 0.000 0.500 Tl
0.000 0.500 0.000 Tl
0.000 0.000 0.000 Re
0.500 0.500 0.500 Fe
```

---

Entry 12:
Below is a crystal of TlFe2Re relaxed with PBEsol, with properties calculated at the SCAN level.

Results
For the energy relative to the elements, the calculation gives 0.588 eV/atom. For the total magnetization, the calculation gives 5.7 μB per formula unit.

Structure (POSCAR):
```
TlFe2Re
1.0
-2.399 -1.066 -0.806
1.797 0.060 -2.076
2.759 -7.842 2.161
Fe Tl Re
2 1 1
direct
0.000 0.000 0.968 Fe
0.500 0.500 0.759 Fe
0.500 0.500 0.239 Tl
0.000 0.000 0.534 Re
```

---

Entry 13:
Below is a crystal of TlFeRe2 relaxed with PBEsol, with properties calculated at the SCAN level.

Results
For the energy relative to the elements, the calculation gives 0.782 eV/atom. For the total magnetization, the calculation gives 2.6 μB per formula unit. Its excess energy over the best structure of this formula in the dataset is 0.066 eV/atom.

Structure (POSCAR):
```
TlFeRe2
1.0
-1.899 2.595 -0.229
-1.939 -1.735 -3.569
-0.973 -2.326 4.392
Fe Re Tl
1 2 1
direct
0.258 0.758 0.516 Fe
0.990 0.990 0.980 Re
0.740 0.240 0.480 Re
0.511 0.511 0.023 Tl
```

---

Entry 14:
Below is a crystal of TlFeRe2 relaxed with PBEsol, with properties calculated at the SCAN level.

Results
For the energy relative to the elements, the calculation gives 0.716 eV/atom. For the total magnetization, the calculation gives 2.0 μB per formula unit. Its excess energy over the best structure of this formula in the dataset is 0.000 eV/atom.

Structure (POSCAR):
```
TlFeRe2
1.0
-0.086 -2.790 0.373
2.699 0.024 0.803
-2.171 1.039 7.263
Fe Re Tl
1 2 1
direct
0.500 0.500 0.500 Fe
0.000 0.000 0.706 Re
0.000 0.000 0.294 Re
0.500 0.500 0.000 Tl
```

---

Entry 15:
Below is a crystal of FeRe2W relaxed with PBEsol, with properties calculated at the SCAN level.

Results
For the energy relative to the elements, the calculation gives 0.167 eV/atom. For the total magnetization, the calculation gives 1.9 μB per formula unit.

Structure (POSCAR):
```
FeRe2W
1.0
-2.442 -0.094 -2.922
-0.775 -3.650 0.765
-1.230 2.964 3.415
Re Fe W
2 1 1
direct
0.250 0.750 0.500 Re
0.750 0.250 0.500 Re
0.000 0.000 0.000 Fe
0.500 0.500 0.000 W
```